[1]
# PBE Y5Ho3Tm3, optimized geometry
# Raw total energy, eV/atom: -5.04
# SG: No. 189
# DOS(E_F), states/eV per atom: 1.579
data_Y5Ho3Tm3
_symmetry_space_group_name_H-M 'P 1'
_symmetry_Int_Tables_number 1
_cell_length_a 11.0397
_cell_length_b 11.0397
_cell_length_c 3.4325
_cell_angle_alpha 90.00
_cell_angle_beta 90.00
_cell_angle_gamma 120.00
loop_
_symmetry_equiv_pos_as_xyz
'x,y,z'
loop_
_atom_site_label
_atom_site_type_symbol
_atom_site_fract_x
_atom_site_fract_y
_atom_site_fract_z
_atom_site_occupancy
Y1 Y 0.0000 0.8383 0.0000 1
Y2 Y 0.1617 0.1617 0.0000 1
Y3 Y 0.3333 0.6667 0.0000 1
Y4 Y 0.6667 0.3333 0.0000 1
Y5 Y 0.8383 0.0000 0.0000 1
Ho1 Ho 0.0000 0.3423 0.0000 1
Ho2 Ho 0.3423 0.0000 0.0000 1
Ho3 Ho 0.6577 0.6577 0.0000 1
Tm1 Tm 0.0000 0.5921 0.5000 1
Tm2 Tm 0.4079 0.4079 0.5000 1
Tm3 Tm 0.5921 0.0000 0.5000 1

***

[2]
# PBE Y8HoTm6, optimized geometry
# SG: No. 147
# DOS(E_F), states/eV per atom: 1.551
# Energy above the lowest structure with this stoichiometry, eV per atom: 0.065
data_Y8HoTm6
_symmetry_space_group_name_H-M 'P 1'
_symmetry_Int_Tables_number 1
_cell_length_a 9.3152
_cell_length_b 9.3152
_cell_length_c 6.5608
_cell_angle_alpha 90.00
_cell_angle_beta 90.00
_cell_angle_gamma 120.00
loop_
_symmetry_equiv_pos_as_xyz
'x,y,z'
loop_
_atom_site_label
_atom_site_type_symbol
_atom_site_fract_x
_atom_site_fract_y
_atom_site_fract_z
_atom_site_occupancy
Y1 Y 0.0270 0.6900 0.1039 1
Y2 Y 0.3100 0.3370 0.1039 1
Y3 Y 0.3333 0.6667 0.8161 1
Y4 Y 0.3370 0.0270 0.8961 1
Y5 Y 0.6630 0.9730 0.1039 1
Y6 Y 0.6667 0.3333 0.1839 1
Y7 Y 0.6900 0.6630 0.8961 1
Y8 Y 0.9730 0.3100 0.8961 1
Ho1 Ho 0.0000 0.0000 0.5000 1
Tm1 Tm 0.0858 0.4080 0.4049 1
Tm2 Tm 0.3222 0.9142 0.4049 1
Tm3 Tm 0.4080 0.3222 0.5951 1
Tm4 Tm 0.5920 0.6778 0.4049 1
Tm5 Tm 0.6778 0.0858 0.5951 1
Tm6 Tm 0.9142 0.5920 0.5951 1

***

[3]
# PBE Y7Ho3Tm2, optimized geometry
# SG: No. 10
# DOS(E_F), states/eV per atom: 1.673
# Energy above the lowest structure with this stoichiometry, eV per atom: 0.000
data_Y7Ho3Tm2
_symmetry_space_group_name_H-M 'P 1'
_symmetry_Int_Tables_number 1
_cell_length_a 6.3482
_cell_length_b 3.5319
_cell_length_c 17.1273
_cell_angle_alpha 90.00
_cell_angle_beta 90.16
_cell_angle_gamma 90.00
loop_
_symmetry_equiv_pos_as_xyz
'x,y,z'
loop_
_atom_site_label
_atom_site_type_symbol
_atom_site_fract_x
_atom_site_fract_y
_atom_site_fract_z
_atom_site_occupancy
Y1 Y 0.0000 0.0000 0.0000 1
Y2 Y 0.1759 0.5000 0.1689 1
Y3 Y 0.2447 0.5000 0.4974 1
Y4 Y 0.3241 0.0000 0.8336 1
Y5 Y 0.6759 0.0000 0.1664 1
Y6 Y 0.7553 0.5000 0.5026 1
Y7 Y 0.8241 0.5000 0.8311 1
Ho1 Ho 0.0018 0.0000 0.3418 1
Ho2 Ho 0.5000 0.5000 0.0000 1
Ho3 Ho 0.9982 0.0000 0.6582 1
Tm1 Tm 0.4921 0.5000 0.6737 1
Tm2 Tm 0.5079 0.5000 0.3263 1